No. 1
## CsErSO (GGA-PBE)

Data for a relaxed CsErSO crystal.

a = 4.632 Å, b = 4.632 Å, c = 10.591 Å
α = 90.00°, β = 90.00°, γ = 90.00°
Fractional coordinates of all 8 atoms:
Cs: 0.250 0.750 0.500
Cs: 0.750 0.250 0.500
O: 0.250 0.750 0.000
O: 0.750 0.250 0.000
S: 0.250 0.250 0.712
S: 0.750 0.750 0.288
Er: 0.750 0.750 0.055
Er: 0.250 0.250 0.945

Output
As for the symmetry: P4/nmm. Its relative energy among the computed polymorphs is 327.9 meV/atom.

---

No. 2
## CsErSO (GGA-PBE)

Data for a relaxed CsErSO crystal.

a = 8.204 Å, b = 9.146 Å, c = 6.616 Å
α = 90.00°, β = 90.00°, γ = 90.00°
Fractional coordinates of all 16 atoms:
Er: 0.573 0.371 0.531
Er: 0.427 0.629 0.031
Er: 0.927 0.371 0.031
Er: 0.073 0.629 0.531
O: 0.525 0.821 0.077
O: 0.475 0.179 0.577
O: 0.975 0.821 0.577
O: 0.025 0.179 0.077
Cs: 0.118 0.108 0.505
Cs: 0.618 0.892 0.505
Cs: 0.382 0.108 0.005
Cs: 0.882 0.892 0.005
S: 0.115 0.595 0.137
S: 0.385 0.595 0.637
S: 0.885 0.405 0.637
S: 0.615 0.405 0.137

Output
As for the symmetry: Pca2_1. Its relative energy among the computed polymorphs is 236.1 meV/atom.

---

No. 3
## CsErSO (GGA-PBE)

Data for a relaxed CsErSO crystal.

a = 4.369 Å, b = 8.612 Å, c = 6.799 Å
α = 90.00°, β = 90.00°, γ = 90.00°
Fractional coordinates of all 8 atoms:
Er: 0.500 0.882 0.044
Er: 0.500 0.118 0.544
O: 0.500 0.933 0.742
O: 0.500 0.067 0.242
S: 0.000 0.282 0.605
S: 0.000 0.718 0.105
Cs: 0.000 0.689 0.600
Cs: 0.000 0.311 0.100

Output
As for the symmetry: Pmc2_1. Its relative energy among the computed polymorphs is 28.3 meV/atom.

---

No. 4
## CsErSO (GGA-PBE)

Data for a relaxed CsErSO crystal.

a = 3.731 Å, b = 3.731 Å, c = 14.993 Å
α = 90.00°, β = 90.00°, γ = 120.00°
Fractional coordinates of all 8 atoms:
O: 0.667 0.333 0.080
O: 0.333 0.667 0.580
Er: 0.000 0.000 0.017
Er: 0.000 0.000 0.517
S: 0.333 0.667 0.908
S: 0.667 0.333 0.408
Cs: 0.667 0.333 0.745
Cs: 0.333 0.667 0.245

Output
As for the symmetry: P6_3mc. Its relative energy among the computed polymorphs is 82.2 meV/atom.